1.
Below is a relaxed Ta3GeC crystal, with properties calculated at the PBE-GGA level.

Lattice parameters (Å, degrees): 3.600 7.047 7.108 76.12 90.00 104.80
Sites, in units of the cell vectors:
Ta (0.310, 0.621, 0.114)
Ta (0.690, 0.379, 0.886)
Ta (0.834, 0.668, 0.445)
Ta (0.949, 0.897, 0.836)
Ta (0.051, 0.103, 0.164)
Ta (0.166, 0.332, 0.555)
C (0.100, 0.200, 0.857)
C (0.900, 0.800, 0.143)
Ge (0.658, 0.317, 0.288)
Ge (0.342, 0.683, 0.712)

Summary:
ρ = 12.341 g/cm3
Space-group type = No. 12
Fermi-level density of states = 0.779 states/eV/atom
Formation energy = -0.082 eV per atom
Crystal system = monoclinic

2.
Below is a relaxed Mn2HgAs2 crystal, with properties calculated at the PBE-GGA level.

Lattice parameters (Å, degrees): 3.790 3.790 6.130 71.99 71.99 90.00
Sites, in units of the cell vectors:
As (0.250, 0.750, 0.500)
As (0.750, 0.250, 0.500)
Mn (0.388, 0.388, 0.225)
Mn (0.612, 0.612, 0.775)
Hg (0.000, 0.000, 0.000)

Summary:
ρ = 9.651 g/cm3
Space-group type = No. 139
Fermi-level density of states = 0.749 states/eV/atom
Formation energy = 0.318 eV per atom
Crystal system = tetragonal
Distance to the lowest polymorph of the same formula = 1.30 eV per formula unit

3.
Below is a relaxed KGe4Pt4 crystal, with properties calculated at the PBE-GGA level.

Lattice parameters (Å, degrees): 4.803 8.748 8.748 90.00 90.00 90.00
Sites, in units of the cell vectors:
Ge (0.500, 0.621, 0.116)
Ge (0.500, 0.116, 0.379)
Ge (0.000, 0.121, 0.616)
Ge (0.500, 0.379, 0.884)
Ge (0.000, 0.384, 0.121)
Ge (0.000, 0.616, 0.879)
Ge (0.000, 0.879, 0.384)
Ge (0.500, 0.884, 0.621)
Pt (0.500, 0.168, 0.680)
Pt (0.000, 0.332, 0.820)
Pt (0.000, 0.820, 0.668)
Pt (0.500, 0.832, 0.320)
Pt (0.500, 0.680, 0.832)
Pt (0.000, 0.180, 0.332)
Pt (0.000, 0.668, 0.180)
Pt (0.500, 0.320, 0.168)
K (0.000, 0.000, 0.000)
K (0.500, 0.500, 0.500)

Summary:
ρ = 10.030 g/cm3
Space-group type = No. 87
Fermi-level density of states = 0.096 states/eV/atom
Formation energy = -0.505 eV per atom
Crystal system = tetragonal
Distance to the lowest polymorph of the same formula = 0.00 eV per formula unit

4.
Below is a relaxed ScSiHg2 crystal, with properties calculated at the PBE-GGA level.

Lattice parameters (Å, degrees): 5.604 5.604 5.604 136.76 136.76 62.80
Sites, in units of the cell vectors:
Hg (0.500, 0.500, 0.000)
Hg (0.000, 0.000, 0.000)
Sc (0.250, 0.750, 0.500)
Si (0.750, 0.250, 0.500)

Summary:
Formation energy from raw total energies = -0.13 eV/atom
ρ = 9.658 g/cm3
Space-group type = No. 139
Fermi-level density of states = 0.388 states/eV/atom
Crystal system = tetragonal

5.
Below is a relaxed ErMnPb2Se5 crystal, with properties calculated at the PBE-GGA level.

Lattice parameters (Å, degrees): 4.089 9.415 13.100 90.00 90.00 102.54
Each line ends with the local moment (μB).
Sites, in units of the cell vectors:
Se (0.496, 0.992, 0.768)  -0.03
Se (0.684, 0.368, 0.877)  0.00
Se (0.316, 0.632, 0.377)  0.00
Se (0.652, 0.303, 0.513)  -0.01
Se (0.299, 0.599, 0.679)  0.00
Se (0.962, 0.924, 0.528)  -0.05
Se (0.701, 0.401, 0.179)  0.00
Se (0.038, 0.076, 0.028)  -0.05
Se (0.348, 0.697, 0.013)  -0.01
Se (0.504, 0.008, 0.268)  -0.03
Er (0.197, 0.393, 0.029)  0.04
Er (0.803, 0.607, 0.529)  0.04
Pb (0.863, 0.725, 0.173)  0.01
Pb (0.885, 0.771, 0.828)  0.02
Pb (0.115, 0.229, 0.328)  0.02
Pb (0.137, 0.275, 0.673)  0.01
Mn (0.444, 0.887, 0.429)  3.62
Mn (0.556, 0.113, 0.929)  3.62

Summary:
Formation energy from raw total energies = -0.83 eV/atom
ρ = 6.959 g/cm3
Space-group type = No. 36
Fermi-level density of states = 0.345 states/eV/atom
Crystal system = orthorhombic

6.
Below is a relaxed TlBRh2Se crystal, with properties calculated at the PBE-GGA level.

Lattice parameters (Å, degrees): 4.192 4.829 4.192 90.00 90.00 90.00
Sites, in units of the cell vectors:
Tl (0.000, 0.500, 0.000)
Rh (0.000, 0.000, 0.500)
Rh (0.500, 0.000, 0.000)
Se (0.500, 0.500, 0.500)
B (0.000, 0.000, 0.000)

Summary:
Formation energy from raw total energies = 0.44 eV/atom
ρ = 9.786 g/cm3
Space-group type = No. 123
Fermi-level density of states = 0.748 states/eV/atom
Crystal system = tetragonal

7.
Below is a relaxed Cs3Pb2F8 crystal, with properties calculated at the PBE-GGA level.

Lattice parameters (Å, degrees): 7.376 7.376 8.592 64.58 64.58 60.00
Each line ends with the local moment (μB).
Sites, in units of the cell vectors:
F (0.330, 0.330, 0.010)  0.04
F (0.261, 0.784, 0.694)  0.05
F (0.216, 0.739, 0.306)  0.05
F (0.670, 0.670, 0.990)  0.04
F (0.784, 0.261, 0.694)  0.05
F (0.739, 0.739, 0.306)  0.05
F (0.261, 0.261, 0.694)  0.05
F (0.739, 0.216, 0.306)  0.05
Pb (0.574, 0.574, 0.277)  0.09
Pb (0.426, 0.426, 0.723)  0.09
Cs (0.201, 0.201, 0.397)  0.00
Cs (0.000, 0.000, 0.000)  0.00
Cs (0.799, 0.799, 0.603)  0.00

Summary:
Formation energy from raw total energies = -2.39 eV/atom
ρ = 4.557 g/cm3
Space-group type = No. 166
Fermi-level density of states = 0.416 states/eV/atom
Crystal system = trigonal

8.
Below is a relaxed PrDy5YHo2 crystal, with properties calculated at the PBE-GGA level.

Lattice parameters (Å, degrees): 5.614 10.290 10.601 90.00 90.00 105.83
Sites, in units of the cell vectors:
Dy (0.522, 0.043, 0.237)
Dy (0.388, 0.776, 0.022)
Dy (0.018, 0.036, 0.024)
Dy (0.612, 0.224, 0.522)
Dy (0.702, 0.403, 0.210)
Dy (0.282, 0.564, 0.312)
Dy (0.718, 0.436, 0.812)
Dy (0.478, 0.957, 0.737)
Dy (0.982, 0.964, 0.524)
Dy (0.298, 0.597, 0.710)
Y (0.799, 0.599, 0.512)
Y (0.201, 0.401, 0.012)
Ho (0.111, 0.222, 0.734)
Ho (0.114, 0.228, 0.320)
Ho (0.889, 0.778, 0.234)
Ho (0.886, 0.772, 0.820)
Pr (0.584, 0.167, 0.952)
Pr (0.416, 0.833, 0.452)

Summary:
ρ = 7.735 g/cm3
Space-group type = No. 4
Fermi-level density of states = 1.631 states/eV/atom
Formation energy = 0.160 eV per atom
Crystal system = monoclinic

9.
Below is a relaxed Li6Cd8Sn crystal, with properties calculated at the PBE-GGA level.

Lattice parameters (Å, degrees): 7.597 7.597 7.546 59.77 59.77 60.00
Sites, in units of the cell vectors:
Li (0.044, 0.277, 0.129)
Li (0.277, 0.550, 0.129)
Li (0.723, 0.450, 0.871)
Li (0.450, 0.956, 0.871)
Li (0.550, 0.044, 0.129)
Li (0.956, 0.723, 0.871)
Cd (0.404, 0.404, 0.787)
Cd (0.830, 0.639, 0.395)
Cd (0.361, 0.864, 0.605)
Cd (0.596, 0.596, 0.213)
Cd (0.136, 0.830, 0.395)
Cd (0.170, 0.361, 0.605)
Cd (0.639, 0.136, 0.395)
Cd (0.864, 0.170, 0.605)
Sn (0.000, 0.000, 0.000)

Summary:
ρ = 5.733 g/cm3
Space-group type = No. 148
Fermi-level density of states = 0.421 states/eV/atom
Formation energy = -0.183 eV per atom
Crystal system = trigonal

10.
Below is a relaxed GaMo2C crystal, with properties calculated at the PBE-GGA level.

Lattice parameters (Å, degrees): 7.151 2.893 10.855 90.00 103.82 90.00
Sites, in units of the cell vectors:
Ga (0.715, 0.000, 0.629)
Ga (0.624, 0.500, 0.384)
Ga (0.624, 0.000, 0.884)
Ga (0.715, 0.500, 0.129)
Mo (0.004, 0.500, 0.559)
Mo (0.382, 0.000, 0.053)
Mo (0.382, 0.500, 0.553)
Mo (0.918, 0.000, 0.328)
Mo (0.918, 0.500, 0.828)
Mo (0.287, 0.000, 0.304)
Mo (0.004, 0.000, 0.059)
Mo (0.287, 0.500, 0.804)
C (0.138, 0.500, 0.399)
C (0.233, 0.000, 0.645)
C (0.138, 0.000, 0.899)
C (0.233, 0.500, 0.145)

Summary:
ρ = 8.334 g/cm3
Space-group type = No. 8
Fermi-level density of states = 0.666 states/eV/atom
Formation energy = 0.058 eV per atom
Crystal system = monoclinic
Distance to the lowest polymorph of the same formula = 0.73 eV per formula unit

11.
Below is a relaxed ZnFe2P crystal, with properties calculated at the PBE-GGA level.

Lattice parameters (Å, degrees): 3.958 6.264 2.816 63.30 89.99 129.16
Each line ends with the local moment (μB).
Sites, in units of the cell vectors:
Fe (0.000, 0.500, 0.500)  0.33
Fe (0.000, 0.000, 0.000)  0.33
P (0.500, 0.500, 0.000)  -0.01
Zn (0.500, 0.000, 0.500)  0.00

Summary:
ρ = 7.833 g/cm3
Space-group type = No. 123
Fermi-level density of states = 0.996 states/eV/atom
Formation energy = 0.003 eV per atom
Crystal system = tetragonal

12.
Below is a relaxed Ce2PuMg crystal, with properties calculated at the PBE-GGA level.

Lattice parameters (Å, degrees): 3.652 3.652 8.904 78.17 78.17 60.00
Each line ends with the local moment (μB).
Sites, in units of the cell vectors:
Mg (0.500, 0.500, 0.499)  0.00
Pu (0.664, 0.664, 0.009)  1.95
Ce (0.061, 0.061, 0.816)  0.01
Ce (0.275, 0.275, 0.176)  -0.07

Summary:
ρ = 9.116 g/cm3
Space-group type = No. 160
Fermi-level density of states = 1.937 states/eV/atom
Formation energy = 0.302 eV per atom
Crystal system = trigonal
Distance to the lowest polymorph of the same formula = 0.92 eV per formula unit

13.
Below is a relaxed Sm2Te3Br crystal, with properties calculated at the PBE-GGA level.

Lattice parameters (Å, degrees): 8.251 8.251 8.251 61.79 61.79 61.79
Sites, in units of the cell vectors:
Sm (0.357, 0.357, 0.357)
Sm (0.143, 0.143, 0.143)
Sm (0.857, 0.857, 0.857)
Sm (0.643, 0.643, 0.643)
Te (0.471, 0.029, 0.750)
Te (0.029, 0.750, 0.471)
Te (0.529, 0.971, 0.250)
Te (0.250, 0.529, 0.971)
Te (0.750, 0.471, 0.029)
Te (0.971, 0.250, 0.529)
Br (0.000, 0.000, 0.000)
Br (0.500, 0.500, 0.500)

Summary:
Formation energy from raw total energies = -1.15 eV/atom
ρ = 6.136 g/cm3
Space-group type = No. 167
Fermi-level density of states = 0.889 states/eV/atom
Crystal system = trigonal

14.
Below is a relaxed AlFeSi2 crystal, with properties calculated at the PBE-GGA level.

Lattice parameters (Å, degrees): 4.474 4.474 4.474 130.48 130.48 72.64
Each line ends with the local moment (μB).
Sites, in units of the cell vectors:
Fe (0.750, 0.250, 0.500)  0.80
Si (0.000, 0.000, 0.000)  0.01
Si (0.500, 0.500, 0.000)  0.01
Al (0.250, 0.750, 0.500)  0.01

Summary:
Formation energy from raw total energies = 0.08 eV/atom
ρ = 4.558 g/cm3
Space-group type = No. 139
Fermi-level density of states = 0.676 states/eV/atom
Crystal system = tetragonal

15.
Below is a relaxed Pr2HoEr crystal, with properties calculated at the PBE-GGA level.

Lattice parameters (Å, degrees): 5.808 7.305 7.305 119.26 90.00 90.00
Sites, in units of the cell vectors:
Pr (0.750, 0.585, 0.915)
Pr (0.250, 0.415, 0.085)
Pr (0.750, 0.085, 0.415)
Pr (0.250, 0.915, 0.585)
Er (0.250, 0.917, 0.083)
Er (0.750, 0.083, 0.917)
Ho (0.750, 0.583, 0.417)
Ho (0.250, 0.417, 0.583)

Summary:
ρ = 7.541 g/cm3
Space-group type = No. 63
Fermi-level density of states = 1.726 states/eV/atom
Formation energy = 0.023 eV per atom
Crystal system = orthorhombic
Distance to the lowest polymorph of the same formula = 0.04 eV per formula unit

16.
Below is a relaxed ZrCoSe2 crystal, with properties calculated at the PBE-GGA level.

Lattice parameters (Å, degrees): 3.811 3.513 6.713 74.87 90.00 90.00
Sites, in units of the cell vectors:
Se (0.500, 0.137, 0.351)
Se (0.000, 0.867, 0.892)
Zr (0.000, 0.538, 0.548)
Co (0.500, 0.958, 0.709)

Summary:
Formation energy from raw total energies = -0.72 eV/atom
ρ = 5.898 g/cm3
Space-group type = No. 38
Fermi-level density of states = 0.680 states/eV/atom
Crystal system = orthorhombic
Distance to the lowest polymorph of the same formula = 0.09 eV per formula unit

17.
Below is a relaxed Ac6Nd3Mg crystal, with properties calculated at the PBE-GGA level.

Lattice parameters (Å, degrees): 6.159 10.376 13.568 111.42 90.00 90.00
Sites, in units of the cell vectors:
Nd (0.750, 0.604, 0.219)
Nd (0.250, 0.765, 0.970)
Nd (0.250, 0.533, 0.360)
Nd (0.750, 0.467, 0.640)
Nd (0.750, 0.235, 0.030)
Nd (0.250, 0.396, 0.781)
Ac (0.250, 0.245, 0.497)
Ac (0.250, 0.851, 0.301)
Ac (0.750, 0.536, 0.929)
Ac (0.750, 0.755, 0.503)
Ac (0.750, 0.149, 0.699)
Ac (0.750, 0.847, 0.826)
Ac (0.750, 0.923, 0.134)
Ac (0.750, 0.332, 0.341)
Ac (0.250, 0.668, 0.659)
Ac (0.250, 0.153, 0.174)
Ac (0.250, 0.077, 0.866)
Ac (0.250, 0.464, 0.071)
Mg (0.750, 0.038, 0.418)
Mg (0.250, 0.962, 0.582)

Summary:
ρ = 7.484 g/cm3
Space-group type = No. 11
Fermi-level density of states = 1.403 states/eV/atom
Formation energy = 0.025 eV per atom
Crystal system = monoclinic

18.
Below is a relaxed ScRe2CS crystal, with properties calculated at the PBE-GGA level.

Lattice parameters (Å, degrees): 4.965 4.588 4.965 90.00 90.00 90.00
Each line ends with the local moment (μB).
Sites, in units of the cell vectors:
Re (0.000, 0.000, 0.500)  2.25
Re (0.500, 0.000, 0.000)  2.67
C (0.500, 0.500, 0.500)  -0.68
S (0.000, 0.500, 0.000)  0.10
Sc (0.000, 0.000, 0.000)  -0.06

Summary:
Formation energy from raw total energies = 3.16 eV/atom
ρ = 6.776 g/cm3
Space-group type = No. 123
Fermi-level density of states = 0.770 states/eV/atom
Crystal system = tetragonal

19.
Below is a relaxed Nd4TlSe2S crystal, with properties calculated at the PBE-GGA level.

Lattice parameters (Å, degrees): 4.212 7.448 7.455 108.83 90.00 90.00
Sites, in units of the cell vectors:
Tl (0.500, 0.500, 0.000)
Se (0.000, 0.500, 0.500)
Se (0.500, 0.000, 0.500)
Nd (0.500, 0.763, 0.757)
Nd (0.500, 0.237, 0.243)
Nd (0.000, 0.764, 0.258)
Nd (0.000, 0.236, 0.742)
S (0.000, 0.000, 0.000)

Summary:
Formation energy from raw total energies = -1.48 eV/atom
ρ = 7.286 g/cm3
Space-group type = No. 10
Fermi-level density of states = 0.389 states/eV/atom
Crystal system = monoclinic

20.
Below is a relaxed Tl4Br3Cl crystal, with properties calculated at the PBE-GGA level.

Lattice parameters (Å, degrees): 8.191 8.192 9.456 90.00 90.00 109.44
Sites, in units of the cell vectors:
Tl (0.498, 0.759, 0.120)
Tl (0.006, 0.753, 0.371)
Tl (0.494, 0.247, 0.371)
Tl (0.998, 0.759, 0.880)
Tl (0.994, 0.247, 0.629)
Tl (0.002, 0.241, 0.120)
Tl (0.502, 0.241, 0.880)
Tl (0.506, 0.753, 0.629)
Cl (0.250, 0.000, 0.125)
Cl (0.750, 0.000, 0.875)
Br (0.750, 0.500, 0.125)
Br (0.750, 0.500, 0.627)
Br (0.250, 0.000, 0.627)
Br (0.750, 0.000, 0.373)
Br (0.250, 0.500, 0.373)
Br (0.250, 0.500, 0.875)

Summary:
Formation energy from raw total energies = -0.90 eV/atom
ρ = 6.065 g/cm3
Space-group type = No. 13
Fermi-level density of states = 0.000 states/eV/atom
Crystal system = monoclinic
Distance to the lowest polymorph of the same formula = 0.00 eV per formula unit